(1)
The following is a DFT calculation (PBE) of a relaxed structure of AlZnAg.

POSCAR file:
```
AlZnAg
1.0
-1.844 -1.479 -1.450
5.008 -4.995 1.377
-8.898 7.842 3.320
Ag Zn Al
2 2 2
Cartesian
-5.953 4.919 2.555
0.219 -3.551 0.692
-2.436 0.283 0.158
-3.298 1.085 3.089
-0.226 -0.881 1.187
-5.508 2.249 2.060
```

Summary:
- relative energy among the computed polymorphs (meV per atom) = 48
- total moment (μB per atom) = 0.000
- energy relative to the elements (eV per atom) = 0.015
- crystal system = monoclinic

---

(2)
The following is a DFT calculation (PBE) of a relaxed structure of AlZnAg2.

POSCAR file:
```
AlZnAg2
1.0
-7.627 -3.617 3.310
-5.991 -6.072 3.074
-5.757 -4.364 5.480
Zn Ag Al
1 2 1
Cartesian
-14.574 -10.571 8.924
-0.067 -0.049 0.041
-4.774 -3.463 2.923
-9.646 -6.997 5.906
```

Summary:
- total moment (μB per atom) = 0.000
- energy relative to the elements (eV per atom) = -0.026
- crystal system = trigonal

---

(3)
The following is a DFT calculation (PBE) of a relaxed structure of Al2ZnAg.

POSCAR file:
```
Al2ZnAg
1.0
-1.519 -1.785 -1.669
-1.765 -1.524 3.236
-4.172 3.941 -0.419
Ag Zn Al
1 1 2
Cartesian
-4.771 1.301 0.469
-2.685 -0.669 0.678
-2.056 1.943 -0.207
-0.030 0.028 -0.003
```

Summary:
- total moment (μB per atom) = 0.000
- energy relative to the elements (eV per atom) = 0.010
- crystal system = orthorhombic

---

(4)
The following is a DFT calculation (PBE) of a relaxed structure of AlZnAg2.

POSCAR file:
```
AlZnAg2
1.0
5.004 -0.012 0.000
1.836 4.655 0.000
-3.420 -2.321 2.820
Zn Al Ag
1 1 2
Cartesian
2.502 -0.006 1.410
3.420 2.321 0.000
0.000 0.000 0.000
0.918 2.327 1.410
```

Summary:
- total moment (μB per atom) = 0.000
- energy relative to the elements (eV per atom) = -0.020
- crystal system = tetragonal

---

(5)
The following is a DFT calculation (PBE) of a relaxed structure of AlZn2Ag.

POSCAR file:
```
AlZn2Ag
1.0
-0.236 -2.556 -1.346
2.508 0.915 1.128
-2.147 -4.047 8.060
Zn Ag Al
2 1 1
Cartesian
0.613 -1.806 1.854
-0.006 -0.011 0.021
-1.071 -2.018 4.020
-0.485 -3.875 5.975
```

Summary:
- total moment (μB per atom) = 0.000
- energy relative to the elements (eV per atom) = 0.042
- crystal system = orthorhombic

---

(6)
The following is a DFT calculation (PBE) of a relaxed structure of AlZn3Ag4.

POSCAR file:
```
AlZn3Ag4
1.0
3.068 0.000 0.000
0.000 3.068 0.000
0.000 0.000 13.814
Zn Ag Al
3 4 1
Cartesian
1.534 1.534 10.312
1.534 1.534 6.907
1.534 1.534 3.502
0.000 0.000 1.746
0.000 0.000 5.197
0.000 0.000 8.617
0.000 0.000 12.067
1.534 1.534 0.000
```

Summary:
- relative energy among the computed polymorphs (meV per atom) = 0
- total moment (μB per atom) = 0.000
- energy relative to the elements (eV per atom) = -0.029
- crystal system = tetragonal

---

(7)
The following is a DFT calculation (PBE) of a relaxed structure of Al6ZnAg2.

POSCAR file:
```
Al6ZnAg2
1.0
8.730 -1.979 -0.073
-0.168 6.083 1.600
-1.573 -0.281 6.085
Ag Al Zn
4 12 2
Cartesian
5.582 0.070 1.896
1.227 1.103 1.902
5.762 2.719 5.710
1.407 3.752 5.716
3.699 4.206 6.949
3.766 3.723 4.160
8.052 1.210 1.935
3.472 2.505 1.813
-1.063 2.613 5.677
3.290 -0.384 0.663
3.223 0.099 3.452
-0.279 4.887 4.018
7.691 -1.212 0.513
-0.702 5.034 7.099
7.268 -1.065 3.594
3.517 1.318 5.799
1.042 1.185 4.685
5.947 2.637 2.927
```

Summary:
- relative energy among the computed polymorphs (meV per atom) = 0
- total moment (μB per atom) = 0.000
- energy relative to the elements (eV per atom) = 0.122
- crystal system = monoclinic

---

(8)
The following is a DFT calculation (PBE) of a relaxed structure of Al3Zn2Ag5.

POSCAR file:
```
Al3Zn2Ag5
1.0
-4.254 0.295 3.451
0.474 -7.967 0.938
4.890 3.370 5.413
Ag Zn Al
10 4 6
Cartesian
-0.682 -2.523 5.588
-0.317 2.377 7.089
-0.640 -0.414 3.458
1.792 -1.779 4.214
0.042 -2.668 8.494
1.427 -6.680 2.714
1.750 -3.889 6.345
-1.200 -5.498 2.312
1.069 -1.635 1.308
2.310 1.195 7.490
-0.336 -5.445 5.034
-2.819 -4.198 4.328
3.929 -0.104 5.475
1.446 1.142 4.769
3.692 3.099 6.140
-2.582 -7.401 3.662
1.364 -1.085 6.756
-1.121 0.162 6.048
-0.254 -3.217 3.046
2.232 -4.465 3.755
```

Summary:
- total moment (μB per atom) = 0.000
- energy relative to the elements (eV per atom) = 0.017
- crystal system = monoclinic